# LaBi2MoO8

LaBi2MoO8 after structural relaxation (PBE+U, the Alexandria database).

The total energy comes out at -6.687 eV/atom. The density is 6.9 g/cm3. The total magnetic moment comes out at 0.00 μB/atom.

Lattice parameters (Å, degrees): 7.276 7.387 6.989 90.00 90.00 90.00
Space group Cmmm (No. 65)
Unique sites:
La 0.000 0.000 0.000 [2 per cell]
Bi 0.000 0.500 0.257 [4 per cell]
Mo 0.000 0.000 0.500 [2 per cell]
O 0.000 0.265 0.500 [4 per cell]
O 0.000 0.319 0.000 [4 per cell]
O 0.182 0.000 0.293 [8 per cell]